1.
An optimized crystal structure of Cs2ZrI8, computed with GGA-PBE.

Calculated values
Energy: -2.967 eV/atom

Lattice parameters (Å, degrees): 16.405 12.607 6.465 90.00 103.29 90.00
Space group C2/m (No. 12)
Symmetry-distinct sites (fractional):
Cs: 0.220 0.000 0.087
Zr: 0.000 0.500 0.000
I: 0.006 0.000 0.258
I: 0.073 0.336 0.793
I: 0.151 0.500 0.336

---

2.
An optimized crystal structure of CsZr2I, computed with GGA-PBE.

Calculated values
Energy: -4.227 eV/atom

Lattice parameters (Å, degrees): 5.032 5.032 22.365 90.00 90.00 90.00
Space group I-42d (No. 122)
Symmetry-distinct sites (fractional):
Cs: 0.000 0.000 0.000
Zr: 0.105 0.250 0.625
I: 0.000 0.000 0.500

---

3.
An optimized crystal structure of CsZrI2, computed with GGA-PBE.

Calculated values
Energy: -3.238 eV/atom

Lattice parameters (Å, degrees): 8.381 8.381 8.381 90.00 90.00 90.00
Space group Fm-3m (No. 225)
Symmetry-distinct sites (fractional):
Cs: 0.000 0.000 0.000
Zr: 0.000 0.000 0.500
I: 0.250 0.250 0.250

---

4.
An optimized crystal structure of Cs3ZrI, computed with GGA-PBE.

Calculated values
Energy: -2.070 eV/atom

Lattice parameters (Å, degrees): 6.686 6.686 6.686 90.00 90.00 90.00
Space group Pm-3m (No. 221)
Symmetry-distinct sites (fractional):
Cs: 0.000 0.000 0.500
Zr: 0.000 0.000 0.000
I: 0.500 0.500 0.500

---

5.
An optimized crystal structure of Cs2ZrI5, computed with GGA-PBE.

Calculated values
Energy: -3.417 eV/atom

Lattice parameters (Å, degrees): 9.088 9.088 10.490 90.00 90.00 90.00
Space group I4mm (No. 107)
Symmetry-distinct sites (fractional):
Cs: 0.000 0.500 0.000
Zr: 0.000 0.000 0.184
I: 0.000 0.000 0.924
I: 0.220 0.220 0.250

---

6.
An optimized crystal structure of Cs2ZrI, computed with GGA-PBE.

Calculated values
Energy: -2.508 eV/atom

Lattice parameters (Å, degrees): 9.692 9.692 9.692 90.00 90.00 90.00
Space group Fm-3m (No. 225)
Symmetry-distinct sites (fractional):
Cs: 0.250 0.250 0.250
Zr: 0.000 0.000 0.000
I: 0.000 0.000 0.500

---

7.
An optimized crystal structure of CsZr3I, computed with GGA-PBE.

Calculated values
Energy relative to the lowest polymorph listed for this composition: 0.848 eV/atom

Lattice parameters (Å, degrees): 5.351 5.351 5.351 90.00 90.00 90.00
Space group Pm-3m (No. 221)
Symmetry-distinct sites (fractional):
Cs: 0.000 0.000 0.000
Zr: 0.000 0.000 0.500
I: 0.500 0.500 0.500

---

8.
An optimized crystal structure of CsIn, computed with GGA-PBE.

Calculated values
Energy relative to the lowest polymorph listed for this composition: 0.000 eV/atom
Calculated formation energy: -9.31 kJ/mol of atoms

Lattice parameters (Å, degrees): 12.113 9.158 7.048 90.00 90.00 90.00
Space group Cmcm (No. 63)
Symmetry-distinct sites (fractional):
Cs: 0.171 0.150 0.250
In: 0.000 0.248 0.750
In: 0.000 0.500 0.000